Entry from the Alexandria database: a relaxed HfZr3Ga crystal (GGA-PBE).

Summary:
**Calculated volume**: 25.4 Å³/atom
**DFT total energy**: -7.19 eV per atom

Unit cell a=5.029 b=5.029 c=5.029 alpha=90.00 beta=90.00 gamma=90.00
Space group Pm-3m (No. 221)
One atom of each set of equivalent atoms:
Hf 0.000 0.000 0.000 [1 per cell]
Zr 0.000 0.500 0.500 [3 per cell]
Ga 0.500 0.500 0.500 [1 per cell]



Entry from the Alexandria database: a relaxed Nd4I crystal (GGA-PBE).

Summary:
**Calculated volume**: 40.6 Å³/atom
**DFT total energy**: -4.09 eV per atom
**ΔE_f (raw)**: 0.033 eV per atom

Unit cell a=5.877 b=5.877 c=5.877 alpha=90.00 beta=90.00 gamma=90.00
Space group Pm-3m (No. 221)
One atom of each set of equivalent atoms:
Nd 0.000 0.000 0.000 [1 per cell]
Nd 0.000 0.500 0.500 [3 per cell]
I 0.500 0.500 0.500 [1 per cell]



Entry from the Alexandria database: a relaxed Ca2Mg12In7 crystal (GGA-PBE).

Summary:
**Calculated volume**: 24.3 Å³/atom
**DFT total energy**: -2.18 eV per atom

Unit cell a=12.9364 b=12.9364 c=3.5152 alpha=90.00 beta=90.00 gamma=120.00
Space group P-3 (No. 147)
One atom of each set of equivalent atoms:
Ca 0.3333 0.6667 0.2594 [2 per cell]
Mg 0.0739 0.4535 0.7505 [6 per cell]
Mg 0.0782 0.2470 0.2450 [6 per cell]
In 0.0000 0.0000 0.5000 [1 per cell]
In 0.1359 0.7106 0.7573 [6 per cell]



Entry from the Alexandria database: a relaxed Ca5Ac4Au6 crystal (GGA-PBE).

Summary:
**Calculated volume**: 31.3 Å³/atom
**DFT total energy**: -3.70 eV per atom

Unit cell a=4.564 b=23.749 c=17.307 alpha=90.00 beta=90.00 gamma=90.00
Space group Cmc2_1 (No. 36)
One atom of each set of equivalent atoms:
Ca 0.000 0.049 0.000 [4 per cell]
Ca 0.000 0.146 0.302 [4 per cell]
Ca 0.000 0.191 0.611 [4 per cell]
Ca 0.000 0.203 0.969 [4 per cell]
Ca 0.000 0.349 0.951 [4 per cell]
Ac 0.000 0.322 0.287 [4 per cell]
Ac 0.000 0.366 0.638 [4 per cell]
Ac 0.000 0.450 0.116 [4 per cell]
Ac 0.000 0.498 0.832 [4 per cell]
Au 0.000 0.039 0.190 [4 per cell]
Au 0.000 0.072 0.462 [4 per cell]
Au 0.000 0.086 0.741 [4 per cell]
Au 0.000 0.229 0.147 [4 per cell]
Au 0.000 0.273 0.804 [4 per cell]
Au 0.000 0.382 0.450 [4 per cell]



Entry from the Alexandria database: a relaxed BaAsSe2O crystal (GGA-PBE).

Summary:
**Calculated volume**: 22.9 Å³/atom
**DFT total energy**: -4.15 eV per atom
**ΔE_f (raw)**: -0.453 eV per atom

Unit cell a=5.233 b=5.233 c=4.186 alpha=90.00 beta=90.00 gamma=90.00
Space group P4/mmm (No. 123)
One atom of each set of equivalent atoms:
Ba 0.000 0.000 0.000 [1 per cell]
As 0.500 0.500 0.000 [1 per cell]
Se 0.000 0.500 0.500 [2 per cell]
O 0.500 0.500 0.500 [1 per cell]



Entry from the Alexandria database: a relaxed NaCdHgAu crystal (GGA-PBE).

Summary:
**Calculated volume**: 27.1 Å³/atom
**DFT total energy**: -1.61 eV per atom

Unit cell a=8.344 b=4.909 c=5.442 alpha=90.00 beta=103.48 gamma=90.00
Space group Cm (No. 8)
One atom of each set of equivalent atoms:
Na 0.000 0.000 0.000 [2 per cell]
Cd 0.284 0.000 0.646 [2 per cell]
Hg 0.202 0.500 0.297 [2 per cell]
Au 0.133 0.500 0.773 [2 per cell]



The records above give, respectively, magnetization values of 2.42, 0.00, 0.00, 0.00, 0.93, 0.00 μB per cell.
The records above give, respectively, ρ values of 6.8, 5.8, 3.8, 8.1, 5.6, 8.2 g/cm³.